VASP calculation (PBE) on NaPr3Sm3Se8 after structural relaxation.

a b c (Å): 8.3931 8.3931 20.6257
angles (deg): 90.00 90.00 120.00
Space group R-3m (No. 166, hexagonal axes)
Symmetry-distinct sites (fractional):
1 Na 0.0000 0.0000 0.0000 [3 per cell]
2 Pr 0.0000 0.5000 0.5000 [9 per cell]
3 Sm 0.0000 0.5000 0.0000 [9 per cell]
4 Se 0.0000 0.0000 0.2523 [6 per cell]
5 Se 0.0055 0.5027 0.2511 [18 per cell]

Computed properties:
- raw formation energy (eV per atom) = -1.8077
- M_tot (μB per formula unit) = 0.0